(1)
Computed, not measured: crystalline Mg2ZnRh at its relaxed geometry at the GGA-PBE level of DFT.

The structure in CIF format:
```
data_Mg2ZnRh
_chemical_formula_sum 'Mg4 Zn2 Rh2'
_cell_length_a 4.904
_cell_length_b 5.308
_cell_length_c 5.308
_cell_angle_alpha 79.93
_cell_angle_beta 89.97
_cell_angle_gamma 89.97
_space_group_name_H-M_alt 'P 1'
_space_group_IT_number 1
loop_
_space_group_symop_operation_xyz
'x,y,z'
loop_
_atom_site_label
_atom_site_fract_x
_atom_site_fract_y
_atom_site_fract_z
Zn1 0.573 0.514 0.615
Mg1 0.323 0.984 0.779
Zn2 0.073 0.514 0.615
Rh1 0.823 0.189 0.940
Mg2 0.823 0.678 0.084
Rh2 0.323 0.839 0.290
Mg3 0.823 0.045 0.451
Mg4 0.323 0.350 0.146
```

Calculated values
**E_form**: -41 kJ per mole of atoms
**Total DFT energy (no corrections)**: -27.00 eV/cell
**Space group**: Cmcm (63)

(2)
Computed, not measured: crystalline Pu2Fe2P2N at its relaxed geometry at the GGA-PBE level of DFT.

The structure in CIF format:
```
data_Pu2Fe2P2N
_chemical_formula_sum 'Pu2 Fe2 P2 N1'
_cell_length_a 3.710
_cell_length_b 5.592
_cell_length_c 6.374
_cell_angle_alpha 58.63
_cell_angle_beta 89.99
_cell_angle_gamma 70.61
_space_group_name_H-M_alt 'P 1'
_space_group_IT_number 1
loop_
_space_group_symop_operation_xyz
'x,y,z'
loop_
_atom_site_label
_atom_site_fract_x
_atom_site_fract_y
_atom_site_fract_z
Fe1 0.803 0.394 0.919
Fe2 0.197 0.606 0.081
P1 0.814 0.373 0.279
P2 0.186 0.627 0.721
Pu1 0.551 0.897 0.298
N1 0.000 0.000 0.000
Pu2 0.449 0.103 0.702
```

Calculated values
**Total DFT energy (no corrections)**: -71.22 eV/cell
**Raw formation energy**: -926 meV per atom
**Space group**: C2/m (12)

Number 1: V 68.0 Å³/f.u., ρ 5.30 g/cm³. Number 2: V 104.0 Å³/f.u., ρ 10.78 g/cm³.